KSr2AgF8 GGA-PBE relaxed; SG = No. 2
1.0
-2.177 -1.560 3.310
2.530 -5.050 -1.654
5.984 2.145 5.428
F Ag Sr K
8 1 2 1
Direct
0.087 0.818 0.796 F
0.913 0.182 0.204 F
0.035 0.685 0.236 F
0.479 0.728 0.520 F
0.521 0.272 0.480 F
0.605 0.777 0.011 F
0.965 0.315 0.764 F
0.395 0.223 0.989 F
0.000 0.000 0.000 Ag
0.498 0.495 0.741 Sr
0.502 0.505 0.259 Sr
0.000 0.000 0.500 K

---

K2TaAgF6 GGA-PBE relaxed; D(E_F) = 4.25 states/eV/f.u.; SG = No. 225
1.0
4.846 -0.359 5.297
-1.824 1.937 6.678
-0.653 -4.986 5.137
F K Ag Ta
6 2 1 1
Direct
0.310 0.690 0.310 F
0.690 0.690 0.310 F
0.310 0.690 0.690 F
0.690 0.310 0.310 F
0.690 0.310 0.690 F
0.310 0.310 0.690 F
0.750 0.750 0.750 K
0.250 0.250 0.250 K
0.000 0.000 0.000 Ag
0.500 0.500 0.500 Ta

---

Respective uncorrected energy values: -55.4, -52.2 eV/cell.
Respective V values: 206.8, 262.6 Å³/cell.